(1)
Below is an optimized crystal structure of Pm2PrCu3, with properties calculated at the GGA-PBE level.

abc: 3.5734 3.5734 10.8114
angles: 90.00 90.00 90.00
With the nearest neighbours (Å) after each atom.
Space group P4/mmm (No. 123)
Symmetry-distinct sites (fractional):
Pm 0.0000 0.0000 0.1648 (multiplicity 2)  8 Cu 3.07-3.09
Pr 0.0000 0.0000 0.5000 (multiplicity 1)  8 Cu 3.15
Cu 0.5000 0.5000 0.0000 (multiplicity 1)  8 Pm 3.09
Cu 0.5000 0.5000 0.3262 (multiplicity 2)  4 Pm 3.07, 4 Pr 3.15

Calculated values
As for the formation energy: -151 meV per atom. For the energy above the most stable polymorph in this dataset, the calculation gives 0.000 eV/atom. The crystal system is tetragonal. The size of the total moment is 0.0 μB/f.u.



(2)
Below is an optimized crystal structure of Pm2PrCu2, with properties calculated at the GGA-PBE level.

abc: 5.0455 4.7440 11.1851
angles: 90.00 97.69 90.00
With the nearest neighbours (Å) after each atom.
Space group P2_1/m (No. 11)
Symmetry-distinct sites (fractional):
Pm 0.1507 0.2500 0.1161 (multiplicity 2)  5 Cu 2.75-3.04
Pm 0.2529 0.7500 0.5090 (multiplicity 2)  4 Cu 2.87-2.89
Pr 0.3088 0.2500 0.7556 (multiplicity 2)  1 Cu 2.97
Cu 0.2098 0.2500 0.3639 (multiplicity 2)  5 Pm 2.75-2.89
Cu 0.3872 0.7500 0.9979 (multiplicity 2)  2 Cu 2.63, 2 Pm 2.80-2.84

Calculated values
As for the formation energy: -68 meV per atom. For the energy above the most stable polymorph in this dataset, the calculation gives 0.018 eV/atom. The crystal system is monoclinic. The size of the total moment is 0.0 μB/f.u.



(3)
Below is an optimized crystal structure of PmPr2Cu, with properties calculated at the GGA-PBE level.

abc: 3.7191 3.7191 30.7265
angles: 90.00 90.00 120.00
With the nearest neighbours (Å) after each atom.
Space group R-3m (No. 166, hexagonal axes)
Symmetry-distinct sites (fractional):
Pm 0.0000 0.0000 0.0000 (multiplicity 3)  6 Pr 3.70, 6 Pm 3.72
Pr 0.0000 0.0000 0.2351 (multiplicity 6)  3 Cu 3.01
Cu 0.0000 0.0000 0.5000 (multiplicity 3)  6 Pr 3.01

Calculated values
As for the formation energy: 60 meV per atom. For the energy above the most stable polymorph in this dataset, the calculation gives 0.113 eV/atom. The crystal system is trigonal. The size of the total moment is 0.0 μB/f.u.



(4)
Below is an optimized crystal structure of PmPr3Cu2, with properties calculated at the GGA-PBE level.

abc: 5.0657 9.1137 7.1290
angles: 90.00 90.00 90.00
With the nearest neighbours (Å) after each atom.
Space group Pmc2_1 (No. 26)
Symmetry-distinct sites (fractional):
Pm 0.0000 0.0772 0.0000 (multiplicity 2)  3 Cu 2.93-3.14
Pr 0.0000 0.3382 0.6331 (multiplicity 2)  4 Cu 2.90-3.17
Pr 0.5000 0.1588 0.3494 (multiplicity 2)  4 Cu 2.91-3.18
Pr 0.5000 0.4222 0.9843 (multiplicity 2)  3 Cu 2.95-3.14
Cu 0.0000 0.3461 0.2262 (multiplicity 2)  6 Pr 2.90-3.18, 1 Pm 2.93
Cu 0.5000 0.1518 0.7569 (multiplicity 2)  5 Pr 2.91-3.17, 2 Pm 3.14

Calculated values
As for the formation energy: -90 meV per atom. The crystal system is orthorhombic. The size of the total moment is 0.0 μB/f.u.



(5)
Below is an optimized crystal structure of PmPr2Cu9, with properties calculated at the GGA-PBE level.

abc: 5.2597 5.2597 25.3757
angles: 90.00 90.00 120.00
With the nearest neighbours (Å) after each atom.
Space group R-3m (No. 166, hexagonal axes)
Symmetry-distinct sites (fractional):
Pm 0.0000 0.0000 0.0000 (multiplicity 3)  18 Cu 3.04-3.32
Pr 0.0000 0.0000 0.1426 (multiplicity 6)  12 Cu 3.07-3.21, 3 Pr 3.27
Cu 0.0000 0.0000 0.3314 (multiplicity 6)  6 Cu 2.51-2.56
Cu 0.0000 0.0000 0.5000 (multiplicity 3)  6 Cu 2.66
Cu 0.0057 0.5028 0.0799 (multiplicity 18)  7 Cu 2.51-2.67

Calculated values
As for the formation energy: -130 meV per atom. The crystal system is trigonal. The size of the total moment is 0.0 μB/f.u.



(6)
Below is an optimized crystal structure of PmPrCu2, with properties calculated at the GGA-PBE level.

abc: 3.9483 4.5422 5.6263
angles: 90.00 109.51 90.00
With the nearest neighbours (Å) after each atom.
Space group Pm (No. 6)
Symmetry-distinct sites (fractional):
Pm 0.0000 0.0000 0.0000 (multiplicity 1)  7 Cu 2.93-3.13
Pr 0.2842 0.5000 0.5681 (multiplicity 1)  7 Cu 2.96-3.14
Cu 0.5794 0.5000 0.1496 (multiplicity 1)  2 Cu 2.66, 1 Pr 2.96
Cu 0.7016 0.0000 0.4117 (multiplicity 1)  2 Cu 2.66, 2 Pm 2.93-2.96

Calculated values
As for the formation energy: -176 meV per atom. For the energy above the most stable polymorph in this dataset, the calculation gives 0.000 eV/atom. The crystal system is monoclinic. The size of the total moment is 0.0 μB/f.u.



(7)
Below is an optimized crystal structure of PmPrCu2, with properties calculated at the GGA-PBE level.

abc: 3.9678 3.9678 22.8019
angles: 90.00 90.00 120.00
With the nearest neighbours (Å) after each atom.
Space group R-3m (No. 166, hexagonal axes)
Symmetry-distinct sites (fractional):
Pm 0.0000 0.0000 0.0000 (multiplicity 3)  6 Cu 2.95
Pr 0.0000 0.0000 0.5000 (multiplicity 3)  6 Cu 3.00
Cu 0.0000 0.0000 0.2515 (multiplicity 6)  3 Pm 2.95, 3 Pr 3.00

Calculated values
As for the formation energy: 63 meV per atom. For the energy above the most stable polymorph in this dataset, the calculation gives 0.239 eV/atom. The crystal system is trigonal. The size of the total moment is 0.0 μB/f.u.



(8)
Below is an optimized crystal structure of PmPrCu10, with properties calculated at the GGA-PBE level.

abc: 4.1231 5.1410 8.8228
angles: 90.00 90.00 90.00
With the nearest neighbours (Å) after each atom.
Space group Pmmm (No. 47)
Symmetry-distinct sites (fractional):
Pm 0.0000 0.0000 0.0000 (multiplicity 1)  14 Cu 2.93-3.27
Pr 0.0000 0.5000 0.5000 (multiplicity 1)  18 Cu 2.96-3.30
Cu 0.0000 0.0000 0.3321 (multiplicity 2)  6 Cu 2.54
Cu 0.0000 0.5000 0.1646 (multiplicity 2)  6 Cu 2.52-2.54
Cu 0.5000 0.0000 0.5000 (multiplicity 1)  8 Cu 2.54-2.56
Cu 0.5000 0.2491 0.2485 (multiplicity 4)  8 Cu 2.54-2.58
Cu 0.5000 0.5000 0.0000 (multiplicity 1)  8 Cu 2.52-2.54

Calculated values
As for the formation energy: -162 meV per atom. The crystal system is orthorhombic. The size of the total moment is 0.0 μB/f.u.



(9)
Below is an optimized crystal structure of Pm2Pr2Cu3, with properties calculated at the GGA-PBE level.

abc: 8.9569 8.9569 8.9569
angles: 90.00 90.00 90.00
With the nearest neighbours (Å) after each atom.
Space group I2_13 (No. 199)
Symmetry-distinct sites (fractional):
Pm 0.0661 0.4339 0.5661 (multiplicity 8)  6 Cu 2.95-3.22
Pr 0.1824 0.1824 0.1824 (multiplicity 8)  3 Cu 2.94
Cu 0.0000 0.2500 0.8673 (multiplicity 12)  2 Pr 2.94, 4 Pm 2.95-3.22

Calculated values
As for the formation energy: -19 meV per atom. The crystal system is cubic. The size of the total moment is 0.0 μB/f.u.



(10)
Below is an optimized crystal structure of PmPr2Cu, with properties calculated at the GGA-PBE level.

abc: 3.7546 3.7546 30.4178
angles: 90.00 90.00 120.00
With the nearest neighbours (Å) after each atom.
Space group R3m (No. 160, hexagonal axes)
Symmetry-distinct sites (fractional):
Pm 0.0000 0.0000 0.0000 (multiplicity 3)  6 Pr 3.70-3.72, 6 Pm 3.75
Pr 0.0000 0.0000 0.2341 (multiplicity 3)  3 Cu 3.00
Pr 0.0000 0.0000 0.4318 (multiplicity 3)  3 Cu 2.99
Cu 0.0000 0.0000 0.8328 (multiplicity 3)  6 Pr 2.99-3.00

Calculated values
As for the formation energy: 71 meV per atom. For the energy above the most stable polymorph in this dataset, the calculation gives 0.125 eV/atom. The crystal system is trigonal. The size of the total moment is 0.0 μB/f.u.



(11)
Below is an optimized crystal structure of PmPr4Cu, with properties calculated at the GGA-PBE level.

abc: 3.6779 3.6779 14.1195
angles: 90.00 90.00 90.00
With the nearest neighbours (Å) after each atom.
Space group P4/mmm (No. 123)
Symmetry-distinct sites (fractional):
Pm 0.0000 0.0000 0.0000 (multiplicity 1)  8 Pr 3.68, 4 Pm 3.68
Pr 0.0000 0.0000 0.3762 (multiplicity 2)  4 Cu 3.13, 1 Pr 3.50
Pr 0.5000 0.5000 0.1839 (multiplicity 2)  4 Pm 3.68, 8 Pr 3.68-3.76
Cu 0.5000 0.5000 0.5000 (multiplicity 1)  8 Pr 3.13

Calculated values
As for the formation energy: -23 meV per atom. The crystal system is tetragonal. The size of the total moment is 0.0 μB/f.u.



(12)
Below is an optimized crystal structure of PmPr2Cu2, with properties calculated at the GGA-PBE level.

abc: 3.9386 4.8631 13.9599
angles: 90.00 97.84 90.00
With the nearest neighbours (Å) after each atom.
Space group P2_1/m (No. 11)
Symmetry-distinct sites (fractional):
Pm 0.1380 0.2500 0.2732 (multiplicity 2)  5 Cu 3.04-3.20
Pr 0.2356 0.7500 0.4659 (multiplicity 2)  2 Cu 2.86-2.87
Pr 0.4461 0.2500 0.8940 (multiplicity 2)  7 Cu 2.89-3.22
Cu 0.0268 0.2500 0.0536 (multiplicity 2)  2 Cu 2.85, 2 Pr 2.95-2.97, 1 Pm 3.04
Cu 0.3355 0.2500 0.6847 (multiplicity 2)  3 Pr 2.86-2.89, 4 Pm 3.17-3.20

Calculated values
As for the formation energy: -57 meV per atom. For the energy above the most stable polymorph in this dataset, the calculation gives 0.014 eV/atom. The crystal system is monoclinic. The size of the total moment is 0.0 μB/f.u.



(13)
Below is an optimized crystal structure of PmPr4Cu5, with properties calculated at the GGA-PBE level.

abc: 3.5929 3.5929 18.2077
angles: 90.00 90.00 90.00
With the nearest neighbours (Å) after each atom.
Space group P4/mmm (No. 123)
Symmetry-distinct sites (fractional):
Pm 0.0000 0.0000 0.0000 (multiplicity 1)  8 Cu 3.07
Pr 0.0000 0.0000 0.1981 (multiplicity 2)  8 Cu 3.14-3.16
Pr 0.0000 0.0000 0.3994 (multiplicity 2)  8 Cu 3.13
Cu 0.5000 0.5000 0.0950 (multiplicity 2)  4 Pm 3.07, 4 Pr 3.16
Cu 0.5000 0.5000 0.2992 (multiplicity 2)  8 Pr 3.13-3.14
Cu 0.5000 0.5000 0.5000 (multiplicity 1)  8 Pr 3.13

Calculated values
As for the formation energy: -128 meV per atom. The crystal system is tetragonal. The size of the total moment is 0.0 μB/f.u.



(14)
Below is an optimized crystal structure of Pm5PrCu6, with properties calculated at the GGA-PBE level.

abc: 5.0828 7.0920 8.0129
angles: 90.00 108.16 90.00
With the nearest neighbours (Å) after each atom.
Space group P2/m (No. 10)
Symmetry-distinct sites (fractional):
Pm 0.0000 0.0000 0.0000 (multiplicity 1)  8 Cu 3.08-3.10
Pm 0.3323 0.5000 0.6651 (multiplicity 2)  8 Cu 3.08-3.13
Pm 0.3336 0.0000 0.6677 (multiplicity 2)  8 Cu 3.07-3.09
Pr 0.0000 0.5000 0.0000 (multiplicity 1)  8 Cu 3.12-3.13
Cu 0.1688 0.2466 0.3366 (multiplicity 4)  7 Pm 3.07-3.11, 1 Pr 3.13
Cu 0.5000 0.2449 0.0000 (multiplicity 2)  6 Pm 3.07-3.13, 2 Pr 3.12

Calculated values
As for the formation energy: -155 meV per atom. The crystal system is monoclinic. The size of the total moment is 0.0 μB/f.u.



(15)
Below is an optimized crystal structure of PmPr2Cu2, with properties calculated at the GGA-PBE level.

abc: 3.6508 5.2158 13.6481
angles: 90.00 97.63 90.00
With the nearest neighbours (Å) after each atom.
Space group P2_1/m (No. 11)
Symmetry-distinct sites (fractional):
Pm 0.1403 0.2500 0.2805 (multiplicity 2)  6 Cu 3.08-3.18
Pr 0.0459 0.7500 0.0934 (multiplicity 2)  8 Cu 3.05-3.18
Pr 0.2290 0.7500 0.4573 (multiplicity 2)  2 Cu 3.07-3.08, 4 Pr 3.39
Cu 0.3628 0.2500 0.7256 (multiplicity 2)  4 Pr 3.05-3.08, 4 Pm 3.18
Cu 0.4520 0.7500 0.9028 (multiplicity 2)  2 Pm 3.08, 6 Pr 3.16-3.18

Calculated values
As for the formation energy: -71 meV per atom. For the energy above the most stable polymorph in this dataset, the calculation gives 0.000 eV/atom. The crystal system is monoclinic. The size of the total moment is 0.0 μB/f.u.



(16)
Below is an optimized crystal structure of Pm3Pr4Cu4, with properties calculated at the GGA-PBE level.

abc: 4.9780 7.5572 15.6848
angles: 90.00 90.00 90.00
With the nearest neighbours (Å) after each atom.
Space group Immm (No. 71)
Symmetry-distinct sites (fractional):
Pm 0.0000 0.0000 0.0000 (multiplicity 2)  2 Cu 3.11
Pm 0.0000 0.5000 0.1004 (multiplicity 4)  1 Pm 3.15, 4 Cu 3.19, 4 Pr 3.44
Pr 0.0000 0.2790 0.3297 (multiplicity 8)  4 Cu 2.81-3.03
Cu 0.0000 0.0000 0.1985 (multiplicity 4)  6 Pr 2.95-3.03, 1 Pm 3.11
Cu 0.0000 0.1625 0.5000 (multiplicity 4)  1 Cu 2.46

Calculated values
As for the formation energy: -27 meV per atom. The crystal system is orthorhombic. The size of the total moment is 0.0 μB/f.u.



(17)
Below is an optimized crystal structure of PmPrCu2, with properties calculated at the GGA-PBE level.

abc: 3.5897 3.5897 7.1916
angles: 90.00 90.00 90.00
With the nearest neighbours (Å) after each atom.
Space group P4/mmm (No. 123)
Symmetry-distinct sites (fractional):
Pm 0.0000 0.0000 0.0000 (multiplicity 1)  8 Cu 3.07
Pr 0.0000 0.0000 0.5000 (multiplicity 1)  8 Cu 3.15
Cu 0.5000 0.5000 0.2413 (multiplicity 2)  4 Pm 3.07, 4 Pr 3.15

Calculated values
As for the formation energy: -143 meV per atom. For the energy above the most stable polymorph in this dataset, the calculation gives 0.033 eV/atom. The crystal system is tetragonal. The size of the total moment is 0.0 μB/f.u.



(18)
Below is an optimized crystal structure of PmPr2Cu, with properties calculated at the GGA-PBE level.

abc: 5.0422 7.8171 6.4941
angles: 90.00 112.72 90.00
With the nearest neighbours (Å) after each atom.
Space group P2_1/m (No. 11)
Symmetry-distinct sites (fractional):
Pm 0.0468 0.2500 0.0929 (multiplicity 2)  1 Cu 2.95
Pr 0.3546 0.0293 0.7097 (multiplicity 4)  3 Cu 2.87-3.12
Cu 0.1999 0.7500 0.3998 (multiplicity 2)  6 Pr 2.87-3.12, 1 Pm 2.95

Calculated values
As for the formation energy: -34 meV per atom. For the energy above the most stable polymorph in this dataset, the calculation gives 0.020 eV/atom. The crystal system is monoclinic. The size of the total moment is 0.0 μB/f.u.



(19)
Below is an optimized crystal structure of PmPr2Cu, with properties calculated at the GGA-PBE level.

abc: 3.6615 3.6615 8.8240
angles: 90.00 90.00 90.00
With the nearest neighbours (Å) after each atom.
Space group P4/mmm (No. 123)
Symmetry-distinct sites (fractional):
Pm 0.0000 0.0000 0.0000 (multiplicity 1)  4 Pm 3.66, 8 Pr 3.71
Pr 0.5000 0.5000 0.3010 (multiplicity 2)  4 Cu 3.13
Cu 0.0000 0.0000 0.5000 (multiplicity 1)  8 Pr 3.13

Calculated values
As for the formation energy: -37 meV per atom. For the energy above the most stable polymorph in this dataset, the calculation gives 0.016 eV/atom. The crystal system is tetragonal. The size of the total moment is 0.0 μB/f.u.



(20)
Below is an optimized crystal structure of Pm4PrCu5, with properties calculated at the GGA-PBE level.

abc: 3.5623 3.5623 18.0303
angles: 90.00 90.00 90.00
With the nearest neighbours (Å) after each atom.
Space group P4/mmm (No. 123)
Symmetry-distinct sites (fractional):
Pm 0.0000 0.0000 0.0995 (multiplicity 2)  8 Cu 3.09-3.10
Pm 0.0000 0.0000 0.2982 (multiplicity 2)  8 Cu 3.07-3.09
Pr 0.0000 0.0000 0.5000 (multiplicity 1)  8 Cu 3.14
Cu 0.5000 0.5000 0.0000 (multiplicity 1)  8 Pm 3.09
Cu 0.5000 0.5000 0.1993 (multiplicity 2)  8 Pm 3.09-3.10
Cu 0.5000 0.5000 0.3956 (multiplicity 2)  4 Pm 3.07, 4 Pr 3.14

Calculated values
As for the formation energy: -155 meV per atom. The crystal system is tetragonal. The size of the total moment is 0.0 μB/f.u.



Table of DOS(E_F) (states/eV/f.u.), in record order: 4.338, 5.038, 4.290, 5.916, 7.473, 3.172, 4.482, 7.048, 10.306, 4.905, 9.327, 4.487, 8.584, 9.338, 5.639, 9.021, 3.318, 4.637, 5.958, 7.195